P) Computed, not measured: a relaxed structure of MgPaAu4 at the PBE level of DFT. Values from VASP.

Output
Symmetry   P4/mmm, No. 123

Quantum ESPRESSO input file:
```
&SYSTEM
  ibrav = 0, nat = 6, ntyp = 3
/
ATOMIC_SPECIES
Mg 24.30 Mg.upf
Pa 231.04 Pa.upf
Au 196.97 Au.upf
CELL_PARAMETERS angstrom
4.555 0.000 0.000
0.000 4.555 0.000
0.000 0.000 6.770
ATOMIC_POSITIONS angstrom
Mg 0.000 0.000 0.000
Pa 2.277 2.277 3.385
Au 0.000 2.277 1.513
Au 0.000 2.277 5.256
Au 2.277 0.000 1.513
Au 2.277 0.000 5.256
```

---

Q) Computed, not measured: a relaxed structure of MgPaAu4 at the PBE level of DFT. Values from VASP.

Output
Symmetry   C2/m, No. 12

Quantum ESPRESSO input file:
```
&SYSTEM
  ibrav = 0, nat = 6, ntyp = 3
/
ATOMIC_SPECIES
Mg 24.30 Mg.upf
Pa 231.04 Pa.upf
Au 196.97 Au.upf
CELL_PARAMETERS angstrom
4.848 -1.818 0.000
4.848 1.818 0.000
-2.711 0.000 6.890
ATOMIC_POSITIONS angstrom
Mg 0.000 0.000 0.000
Pa -1.355 0.000 3.445
Au 2.831 0.000 1.080
Au 1.432 0.000 4.706
Au 5.554 0.000 2.184
Au 4.155 0.000 5.810
```

---

What should be chosen as the least stable of them? Choose P).

---

P) Computed, not measured: a relaxed structure of MgPbAu3 at the PBE level of DFT. Values from VASP.

Output
Symmetry   Pm-3m, No. 221

Quantum ESPRESSO input file:
```
&SYSTEM
  ibrav = 0, nat = 5, ntyp = 3
/
ATOMIC_SPECIES
Mg 24.30 Mg.upf
Pb 207.20 Pb.upf
Au 196.97 Au.upf
CELL_PARAMETERS angstrom
4.997 0.000 0.000
0.000 4.997 0.000
0.000 0.000 4.997
ATOMIC_POSITIONS angstrom
Mg 0.000 0.000 0.000
Pb 2.498 2.498 2.498
Au 0.000 0.000 2.498
Au 0.000 2.498 0.000
Au 2.498 0.000 0.000
```

---

Q) Computed, not measured: a relaxed structure of MgPbAu3 at the PBE level of DFT. Values from VASP.

Output
Symmetry   Pm-3m, No. 221

Quantum ESPRESSO input file:
```
&SYSTEM
  ibrav = 0, nat = 5, ntyp = 3
/
ATOMIC_SPECIES
Mg 24.30 Mg.upf
Pb 207.20 Pb.upf
Au 196.97 Au.upf
CELL_PARAMETERS angstrom
5.321 0.000 0.000
0.000 5.321 0.000
0.000 0.000 5.321
ATOMIC_POSITIONS angstrom
Mg 0.000 0.000 0.000
Pb 2.661 2.661 2.661
Au 0.000 2.661 2.661
Au 2.661 0.000 2.661
Au 2.661 2.661 0.000
```

---

What should be chosen as the least stable of them? Choose Q).

---

P) Computed, not measured: a relaxed structure of MgPd7Au4 at the PBE level of DFT. Values from VASP.

Output
Symmetry   P-1, No. 2

Quantum ESPRESSO input file:
```
&SYSTEM
  ibrav = 0, nat = 12, ntyp = 3
/
ATOMIC_SPECIES
Mg 24.30 Mg.upf
Pd 106.42 Pd.upf
Au 196.97 Au.upf
CELL_PARAMETERS angstrom
4.914 0.000 0.000
0.001 5.707 0.000
2.453 1.471 6.979
ATOMIC_POSITIONS angstrom
Mg 0.000 0.000 0.000
Pd 0.000 2.854 0.000
Pd 1.635 5.723 2.291
Pd 3.269 2.866 4.689
Pd 4.907 2.881 6.973
Pd 2.461 4.297 0.006
Pd 4.099 4.312 2.290
Pd 5.733 1.455 4.688
Au 1.646 2.884 2.307
Au 3.268 5.741 4.671
Au 4.100 1.437 2.308
Au 5.723 4.294 4.672
```

---

Q) Computed, not measured: a relaxed structure of MgPd7Au4 at the PBE level of DFT. Values from VASP.

Output
Symmetry   C2/m, No. 12

Quantum ESPRESSO input file:
```
&SYSTEM
  ibrav = 0, nat = 12, ntyp = 3
/
ATOMIC_SPECIES
Mg 24.30 Mg.upf
Pd 106.42 Pd.upf
Au 196.97 Au.upf
CELL_PARAMETERS angstrom
5.009 -2.420 0.000
5.009 2.420 0.000
-4.861 0.000 8.740
ATOMIC_POSITIONS angstrom
Mg 0.000 0.000 0.000
Pd -1.089 0.000 4.024
Pd 2.418 0.000 0.710
Pd 1.590 0.000 3.332
Pd 5.009 0.000 0.000
Pd 3.565 0.000 5.408
Pd 2.738 0.000 8.030
Pd 6.245 0.000 4.715
Au -1.929 0.000 6.757
Au 0.810 0.000 6.051
Au 4.346 0.000 2.689
Au 7.085 0.000 1.983
```

---

What should be chosen as the least stable of them? Choose Q).

---

P) Computed, not measured: a relaxed structure of MgPd5Au4 at the PBE level of DFT. Values from VASP.

Output
Symmetry   C2/m, No. 12

Quantum ESPRESSO input file:
```
&SYSTEM
  ibrav = 0, nat = 10, ntyp = 3
/
ATOMIC_SPECIES
Mg 24.30 Mg.upf
Pd 106.42 Pd.upf
Au 196.97 Au.upf
CELL_PARAMETERS angstrom
6.958 -2.114 0.000
6.958 2.114 0.000
-3.160 0.000 6.078
ATOMIC_POSITIONS angstrom
Mg 0.000 0.000 0.000
Pd -1.580 0.000 3.039
Pd 1.577 0.000 5.355
Pd 3.752 0.000 1.806
Pd 7.004 0.000 4.272
Pd 9.179 0.000 0.723
Au 1.121 0.000 2.529
Au 4.318 0.000 4.558
Au 6.438 0.000 1.520
Au 9.635 0.000 3.549
```

---

Q) Computed, not measured: a relaxed structure of MgPd5Au4 at the PBE level of DFT. Values from VASP.

Output
Symmetry   Pmmn, No. 59

Quantum ESPRESSO input file:
```
&SYSTEM
  ibrav = 0, nat = 20, ntyp = 3
/
ATOMIC_SPECIES
Mg 24.30 Mg.upf
Pd 106.42 Pd.upf
Au 196.97 Au.upf
CELL_PARAMETERS angstrom
8.295 0.000 0.000
0.000 9.148 0.000
0.000 0.000 4.776
ATOMIC_POSITIONS angstrom
Mg 2.074 2.287 0.832
Mg 6.221 6.861 3.943
Pd 0.687 4.608 1.166
Pd 0.687 9.114 1.166
Pd 2.074 6.861 0.343
Pd 3.461 4.608 1.166
Pd 3.461 9.114 1.166
Pd 4.834 0.034 3.610
Pd 4.834 4.540 3.610
Pd 6.221 2.287 4.433
Pd 7.609 0.034 3.610
Pd 7.609 4.540 3.610
Au 0.532 6.861 2.774
Au 2.074 0.239 3.561
Au 2.074 4.335 3.561
Au 3.616 6.861 2.774
Au 4.680 2.287 2.002
Au 6.221 4.813 1.215
Au 6.221 8.909 1.215
Au 7.763 2.287 2.002
```

---

What should be chosen as the least stable of them? Choose P).

---

P) Computed, not measured: a relaxed structure of MgPd6Au5 at the PBE level of DFT. Values from VASP.

Output
Symmetry   Immm, No. 71

Quantum ESPRESSO input file:
```
&SYSTEM
  ibrav = 0, nat = 12, ntyp = 3
/
ATOMIC_SPECIES
Mg 24.30 Mg.upf
Pd 106.42 Pd.upf
Au 196.97 Au.upf
CELL_PARAMETERS angstrom
-2.070 3.884 6.175
2.070 -3.884 6.175
2.070 3.884 -6.175
ATOMIC_POSITIONS angstrom
Mg 0.000 0.000 0.000
Pd 2.070 -1.958 4.128
Pd 2.070 1.919 0.000
Pd 0.000 1.926 2.046
Pd 2.070 1.958 4.128
Pd 0.000 1.965 6.175
Pd 0.000 5.841 2.046
Au 2.070 0.000 2.034
Au 0.000 0.000 4.118
Au 0.000 3.884 0.000
Au 0.000 0.000 8.231
Au 0.000 3.884 4.141
```

---

Q) Computed, not measured: a relaxed structure of MgPd6Au5 at the PBE level of DFT. Values from VASP.

Output
Symmetry   C2/m, No. 12

Quantum ESPRESSO input file:
```
&SYSTEM
  ibrav = 0, nat = 12, ntyp = 3
/
ATOMIC_SPECIES
Mg 24.30 Mg.upf
Pd 106.42 Pd.upf
Au 196.97 Au.upf
CELL_PARAMETERS angstrom
2.263 -6.793 0.000
2.263 6.793 0.000
-0.009 0.000 6.496
ATOMIC_POSITIONS angstrom
Mg 0.000 0.000 0.000
Pd 2.261 4.550 1.613
Pd 2.255 4.550 4.883
Pd 2.261 0.000 1.572
Pd 2.255 0.000 4.924
Pd 2.261 -4.550 1.613
Pd 2.255 -4.550 4.883
Au -0.005 0.000 3.248
Au 2.263 2.277 0.000
Au 2.258 2.239 3.248
Au 2.258 -2.239 3.248
Au 2.263 -2.277 0.000
```

---

What should be chosen as the least stable of them? Choose Q).

---

P) Computed, not measured: a relaxed structure of MgPd8Au2 at the PBE level of DFT. Values from VASP.

Output
Symmetry   C2/m, No. 12

Quantum ESPRESSO input file:
```
&SYSTEM
  ibrav = 0, nat = 11, ntyp = 3
/
ATOMIC_SPECIES
Mg 24.30 Mg.upf
Pd 106.42 Pd.upf
Au 196.97 Au.upf
CELL_PARAMETERS angstrom
7.171 -2.000 0.000
7.171 2.000 0.000
-1.731 0.000 6.098
ATOMIC_POSITIONS angstrom
Mg 0.000 0.000 0.000
Pd 0.489 0.000 2.741
Pd 1.001 0.000 5.545
Pd 3.830 0.000 5.026
Pd 6.066 0.000 1.660
Pd 6.545 0.000 4.438
Pd 8.781 0.000 1.073
Pd 11.611 0.000 0.553
Pd 12.122 0.000 3.357
Au 3.304 0.000 2.201
Au 9.307 0.000 3.897
```

---

Q) Computed, not measured: a relaxed structure of MgPd8Au2 at the PBE level of DFT. Values from VASP.

Output
Symmetry   C2/m, No. 12

Quantum ESPRESSO input file:
```
&SYSTEM
  ibrav = 0, nat = 11, ntyp = 3
/
ATOMIC_SPECIES
Mg 24.30 Mg.upf
Pd 106.42 Pd.upf
Au 196.97 Au.upf
CELL_PARAMETERS angstrom
3.734 -6.369 0.000
3.734 6.369 0.000
-3.092 0.000 3.929
ATOMIC_POSITIONS angstrom
Mg 0.000 0.000 0.000
Pd -0.346 1.440 2.474
Pd 3.734 3.669 0.000
Pd -0.346 -1.440 2.474
Pd 2.533 0.000 0.718
Pd 1.844 0.000 3.211
Pd 4.723 1.440 1.454
Pd 3.734 -3.669 0.000
Pd 4.723 -1.440 1.454
Au 2.188 2.450 1.964
Au 2.188 -2.450 1.964
```

---

What should be chosen as the least stable of them? Choose Q).

---

P) Computed, not measured: a relaxed structure of Mg2Pd12Au5 at the PBE level of DFT. Values from VASP.

Output
Symmetry   C2/m, No. 12

Quantum ESPRESSO input file:
```
&SYSTEM
  ibrav = 0, nat = 19, ntyp = 3
/
ATOMIC_SPECIES
Mg 24.30 Mg.upf
Pd 106.42 Pd.upf
Au 196.97 Au.upf
CELL_PARAMETERS angstrom
6.940 -4.682 0.000
6.940 4.682 0.000
-1.070 0.000 4.821
ATOMIC_POSITIONS angstrom
Mg 6.940 2.384 0.000
Mg 6.940 -2.384 0.000
Pd 3.329 2.332 3.836
Pd 1.551 0.000 0.044
Pd 5.151 2.324 1.848
Pd 7.660 2.324 2.972
Pd 5.424 0.000 3.426
Pd 9.482 2.332 0.985
Pd 3.329 -2.332 3.836
Pd 7.387 0.000 1.395
Pd 5.151 -2.324 1.848
Pd 7.660 -2.324 2.972
Pd 11.260 0.000 4.776
Pd 9.482 -2.332 0.985
Au -0.535 0.000 2.410
Au 2.418 0.000 2.670
Au 4.472 0.000 0.601
Au 8.339 0.000 4.219
Au 10.393 0.000 2.151
```

---

Q) Computed, not measured: a relaxed structure of Mg2Pd12Au5 at the PBE level of DFT. Values from VASP.

Output
Symmetry   C2/m, No. 12

Quantum ESPRESSO input file:
```
&SYSTEM
  ibrav = 0, nat = 19, ntyp = 3
/
ATOMIC_SPECIES
Mg 24.30 Mg.upf
Pd 106.42 Pd.upf
Au 196.97 Au.upf
CELL_PARAMETERS angstrom
6.337 -3.786 0.000
6.337 3.786 0.000
-0.099 0.000 6.599
ATOMIC_POSITIONS angstrom
Mg 6.337 2.274 0.000
Mg 6.337 -2.274 0.000
Pd 0.655 0.000 2.124
Pd 4.764 2.287 2.251
Pd 4.287 1.398 4.965
Pd 7.811 2.287 4.348
Pd 5.155 0.000 0.684
Pd 8.288 1.398 1.634
Pd 4.287 -1.398 4.965
Pd 7.420 0.000 5.915
Pd 4.764 -2.287 2.251
Pd 8.288 -1.398 1.634
Pd 7.811 -2.287 4.348
Pd 11.920 0.000 4.475
Au 2.352 0.000 6.563
Au 3.302 0.000 2.739
Au 6.288 0.000 3.299
Au 9.274 0.000 3.859
Au 10.223 0.000 0.036
```

---

What should be chosen as the least stable of them? Choose Q).

---

P) Computed, not measured: a relaxed structure of Mg4PdAu5 at the PBE level of DFT. Values from VASP.

Output
Symmetry   C2/m, No. 12

Quantum ESPRESSO input file:
```
&SYSTEM
  ibrav = 0, nat = 10, ntyp = 3
/
ATOMIC_SPECIES
Mg 24.30 Mg.upf
Pd 106.42 Pd.upf
Au 196.97 Au.upf
CELL_PARAMETERS angstrom
7.454 -2.212 0.000
7.454 2.212 0.000
-1.981 0.000 5.325
ATOMIC_POSITIONS angstrom
Mg 0.724 0.000 1.761
Mg 2.748 0.000 4.758
Mg 10.178 0.000 0.568
Mg 12.203 0.000 3.564
Pd 7.454 0.000 0.000
Au -0.102 0.000 4.519
Au 3.601 0.000 2.063
Au 6.463 0.000 2.663
Au 9.325 0.000 3.262
Au 13.029 0.000 0.806
```

---

Q) Computed, not measured: a relaxed structure of Mg4PdAu5 at the PBE level of DFT. Values from VASP.

Output
Symmetry   P4/mmm, No. 123

Quantum ESPRESSO input file:
```
&SYSTEM
  ibrav = 0, nat = 10, ntyp = 3
/
ATOMIC_SPECIES
Mg 24.30 Mg.upf
Pd 106.42 Pd.upf
Au 196.97 Au.upf
CELL_PARAMETERS angstrom
3.425 0.000 0.000
0.000 3.425 0.000
0.000 0.000 15.121
ATOMIC_POSITIONS angstrom
Mg 0.000 0.000 1.555
Mg 0.000 0.000 4.696
Mg 0.000 0.000 10.425
Mg 0.000 0.000 13.566
Pd 0.000 0.000 7.560
Au 1.713 1.713 0.000
Au 1.713 1.713 3.091
Au 1.713 1.713 6.083
Au 1.713 1.713 9.038
Au 1.713 1.713 12.030
```

---

What should be chosen as the least stable of them? Choose Q).

---

P) Computed, not measured: a relaxed structure of MgPd2Au4 at the PBE level of DFT. Values from VASP.

Output
Symmetry   I-42d, No. 122

Quantum ESPRESSO input file:
```
&SYSTEM
  ibrav = 0, nat = 14, ntyp = 3
/
ATOMIC_SPECIES
Mg 24.30 Mg.upf
Pd 106.42 Pd.upf
Au 196.97 Au.upf
CELL_PARAMETERS angstrom
-4.012 4.012 3.996
4.012 -4.012 3.996
4.012 4.012 -3.996
ATOMIC_POSITIONS angstrom
Mg 0.000 0.000 0.000
Mg 0.000 4.012 1.998
Pd 2.006 -1.016 2.997
Pd 2.996 2.006 0.999
Pd 2.006 5.027 -0.999
Pd 1.016 2.006 4.995
Au 3.357 2.663 -1.677
Au 5.361 0.655 0.321
Au 0.655 2.663 -0.321
Au 0.655 1.349 2.318
Au 1.349 -0.655 5.673
Au 3.357 1.349 3.675
Au 2.663 4.667 1.677
Au -1.349 3.357 4.316
```

---

Q) Computed, not measured: a relaxed structure of MgPd2Au4 at the PBE level of DFT. Values from VASP.

Output
Symmetry   I4mm, No. 107

Quantum ESPRESSO input file:
```
&SYSTEM
  ibrav = 0, nat = 7, ntyp = 3
/
ATOMIC_SPECIES
Mg 24.30 Mg.upf
Pd 106.42 Pd.upf
Au 196.97 Au.upf
CELL_PARAMETERS angstrom
-3.372 3.372 2.838
3.372 -3.372 2.838
3.372 3.372 -2.838
ATOMIC_POSITIONS angstrom
Mg 0.000 0.000 0.000
Pd 3.372 0.000 2.176
Pd 0.000 3.372 2.176
Au 1.900 1.900 0.746
Au 1.472 -1.472 3.584
Au -1.472 1.472 3.584
Au 1.472 1.472 3.584
```

---

What should be chosen as the least stable of them? Choose P).

---

P) Computed, not measured: a relaxed structure of MgPd6Au3 at the PBE level of DFT. Values from VASP.

Output
Symmetry   P2_1/m, No. 11

Quantum ESPRESSO input file:
```
&SYSTEM
  ibrav = 0, nat = 20, ntyp = 3
/
ATOMIC_SPECIES
Mg 24.30 Mg.upf
Pd 106.42 Pd.upf
Au 196.97 Au.upf
CELL_PARAMETERS angstrom
8.900 0.000 0.000
0.000 4.047 0.000
-0.191 0.000 9.018
ATOMIC_POSITIONS angstrom
Mg 0.436 1.012 3.490
Mg 8.274 3.035 5.528
Pd 0.243 3.035 8.096
Pd 1.095 1.012 6.227
Pd 1.313 3.035 1.785
Pd 2.010 3.035 4.473
Pd 3.038 1.012 2.698
Pd 3.989 3.035 0.903
Pd 4.720 1.012 8.115
Pd 5.671 3.035 6.320
Pd 6.700 1.012 4.545
Pd 7.397 1.012 7.233
Pd 7.614 3.035 2.791
Pd 8.466 1.012 0.922
Au 2.016 1.012 9.014
Au 2.919 3.035 7.185
Au 3.865 1.012 5.392
Au 4.845 3.035 3.626
Au 5.791 1.012 1.833
Au 6.693 3.035 0.004
```

---

Q) Computed, not measured: a relaxed structure of MgPd6Au3 at the PBE level of DFT. Values from VASP.

Output
Symmetry   Cmc2_1, No. 36

Quantum ESPRESSO input file:
```
&SYSTEM
  ibrav = 0, nat = 20, ntyp = 3
/
ATOMIC_SPECIES
Mg 24.30 Mg.upf
Pd 106.42 Pd.upf
Au 196.97 Au.upf
CELL_PARAMETERS angstrom
4.386 -7.659 0.000
4.386 7.659 0.000
0.000 0.000 4.984
ATOMIC_POSITIONS angstrom
Mg 4.386 4.315 2.492
Mg 4.386 -4.315 0.000
Pd 2.120 3.257 3.509
Pd 4.386 6.756 1.454
Pd 2.937 0.782 4.344
Pd 4.386 3.136 4.902
Pd 2.937 -0.782 1.852
Pd 2.120 -3.257 1.017
Pd 6.653 3.257 3.509
Pd 5.835 0.782 4.344
Pd 4.386 -3.136 2.410
Pd 5.835 -0.782 1.852
Pd 4.386 -6.756 3.946
Pd 6.653 -3.257 1.017
Au 1.430 1.563 1.522
Au 1.430 -1.563 4.015
Au 4.386 1.584 2.112
Au 4.386 -1.584 4.604
Au 7.343 1.563 1.522
Au 7.343 -1.563 4.015
```

---

What should be chosen as the least stable of them? Choose Q).